An optimized crystal structure of RbNbMo, computed with GGA-PBE.

Unit cell a=6.647 b=6.647 c=6.647 alpha=90.00 beta=90.00 gamma=90.00
Fractional positions:
Rb1 0.000 0.000 0.000
Rb2 0.000 0.500 0.500
Rb3 0.500 0.000 0.500
Rb4 0.500 0.500 0.000
Nb1 0.000 0.000 0.500
Nb2 0.000 0.500 0.000
Nb3 0.500 0.000 0.000
Nb4 0.500 0.500 0.500
Mo1 0.250 0.250 0.750
Mo2 0.250 0.750 0.250
Mo3 0.750 0.250 0.250
Mo4 0.750 0.750 0.750

relative energy among the computed polymorphs = 0.000 eV/atom

An optimized crystal structure of RbThZn, computed with GGA-PBE.

Unit cell a=7.534 b=7.534 c=7.534 alpha=90.00 beta=90.00 gamma=90.00
Fractional positions:
Rb1 0.000 0.000 0.000
Rb2 0.000 0.500 0.500
Rb3 0.500 0.000 0.500
Rb4 0.500 0.500 0.000
Th1 0.000 0.000 0.500
Th2 0.000 0.500 0.000
Th3 0.500 0.000 0.000
Th4 0.500 0.500 0.500
Zn1 0.250 0.250 0.250
Zn2 0.250 0.750 0.750
Zn3 0.750 0.250 0.750
Zn4 0.750 0.750 0.250

energy = -27.6 eV/cell

An optimized crystal structure of NbCdCoBi, computed with GGA-PBE.

Unit cell a=6.790 b=6.790 c=6.790 alpha=90.00 beta=90.00 gamma=90.00
Fractional positions:
Nb1 0.000 0.000 0.000
Nb2 0.000 0.500 0.500
Nb3 0.500 0.000 0.500
Nb4 0.500 0.500 0.000
Cd1 0.250 0.250 0.250
Cd2 0.250 0.750 0.750
Cd3 0.750 0.250 0.750
Cd4 0.750 0.750 0.250
Co1 0.250 0.250 0.750
Co2 0.250 0.750 0.250
Co3 0.750 0.250 0.250
Co4 0.750 0.750 0.750
Bi1 0.000 0.000 0.500
Bi2 0.000 0.500 0.000
Bi3 0.500 0.000 0.000
Bi4 0.500 0.500 0.500

relative energy among the computed polymorphs = 0.092 eV/atom

An optimized crystal structure of K2AuO2, computed with GGA-PBE.

Unit cell a=3.922 b=3.922 c=13.555 alpha=90.00 beta=90.00 gamma=90.00
Fractional positions:
K1 0.000 0.000 0.158
K2 0.000 0.000 0.842
K3 0.500 0.500 0.342
K4 0.500 0.500 0.658
Au1 0.000 0.000 0.500
Au2 0.500 0.500 0.000
O1 0.000 0.000 0.356
O2 0.000 0.000 0.644
O3 0.500 0.500 0.144
O4 0.500 0.500 0.856

energy = -40.2 eV/cell

An optimized crystal structure of Lu4Sb3W2C3, computed with GGA-PBE.

Unit cell a=5.964 b=5.964 c=14.302 alpha=101.36 beta=101.36 gamma=60.56
Fractional positions:
Lu1 0.040 0.186 0.092
Lu2 0.125 0.303 0.408
Lu3 0.186 0.040 0.592
Lu4 0.303 0.125 0.908
Lu5 0.697 0.875 0.092
Lu6 0.814 0.960 0.408
Lu7 0.875 0.697 0.592
Lu8 0.960 0.814 0.908
Sb1 0.129 0.871 0.250
Sb2 0.276 0.416 0.750
Sb3 0.416 0.276 0.250
Sb4 0.584 0.724 0.750
Sb5 0.724 0.584 0.250
Sb6 0.871 0.129 0.750
W1 0.340 0.522 0.072
W2 0.478 0.660 0.428
W3 0.522 0.340 0.572
W4 0.660 0.478 0.928
C1 0.000 0.500 0.000
C2 0.196 0.652 0.500
C3 0.348 0.804 0.000
C4 0.500 0.000 0.500
C5 0.652 0.196 0.000
C6 0.804 0.348 0.500

energy = -178.1 eV/cell

An optimized crystal structure of Y2TmFe9, computed with GGA-PBE.

Unit cell a=8.559 b=8.559 c=8.559 alpha=34.37 beta=34.37 gamma=34.37
Fractional positions:
Y1 0.142 0.142 0.142
Y2 0.858 0.858 0.858
Tm1 0.000 0.000 0.000
Fe1 0.082 0.580 0.580
Fe2 0.333 0.333 0.333
Fe3 0.420 0.420 0.918
Fe4 0.420 0.918 0.420
Fe5 0.500 0.500 0.500
Fe6 0.580 0.082 0.580
Fe7 0.580 0.580 0.082
Fe8 0.667 0.667 0.667
Fe9 0.918 0.420 0.420

formation enthalpy at 0 K = -0.073 eV/atom

An optimized crystal structure of CdSbPb4C2, computed with GGA-PBE.

Unit cell a=3.653 b=3.653 c=16.618 alpha=90.00 beta=90.00 gamma=120.00
Fractional positions:
Cd1 0.000 0.000 0.000
Sb1 0.333 0.667 0.500
Pb1 0.000 0.000 0.334
Pb2 0.000 0.000 0.666
Pb3 0.333 0.667 0.165
Pb4 0.333 0.667 0.835
C1 0.667 0.333 0.245
C2 0.667 0.333 0.755

energy = -31.4 eV/cell

An optimized crystal structure of CsKHg2, computed with GGA-PBE.

Unit cell a=7.182 b=7.246 c=7.501 alpha=106.23 beta=103.44 gamma=92.63
Fractional positions:
Cs1 0.178 0.295 0.146
Cs2 0.822 0.705 0.854
K1 0.262 0.852 0.548
K2 0.738 0.148 0.452
Hg1 0.302 0.400 0.707
Hg2 0.383 0.783 0.057
Hg3 0.617 0.217 0.943
Hg4 0.698 0.600 0.293

energy = -7.0 eV/cell